1.
A plane-wave DFT calculation with PBE was carried out for crystalline LiSmAl2Zn4 at its relaxed geometry.

Summary:
- electronic total energy (eV/atom) = -2.652
- space group = R-3m
- E_form (eV/atom) = -0.250

a b c (Å): 4.4431 4.4431 8.5069
angles (deg): 74.86 74.86 60.00
Closest atoms and distances in Å follow each position.
Sites, in units of the cell vectors:
Li: 0.5000 0.5000 0.5000  8 Zn 2.55-2.70
Sm: 0.0000 0.0000 0.0000  8 Zn 2.98-3.20
Al: 0.7544 0.7544 0.7369  7 Zn 2.64-2.78
Al: 0.2456 0.2456 0.2631  7 Zn 2.64-2.78
Zn: 0.3953 0.3953 0.8141  1 Li 2.55, 3 Al 2.64
Zn: 0.8684 0.8684 0.3949  3 Li 2.70, 4 Al 2.77-2.78
Zn: 0.1316 0.1316 0.6051  3 Li 2.70, 4 Al 2.77-2.78
Zn: 0.6047 0.6047 0.1859  1 Li 2.55, 3 Al 2.64

***

2.
A plane-wave DFT calculation with PBE was carried out for crystalline TbAl2Ni9 at its relaxed geometry.

Summary:
- electronic total energy (eV/atom) = -5.659
- space group = R-3m
- E_form (eV/atom) = -0.313
- polymorph energy (0 for the lowest one) (eV/atom) = 0.0550

a b c (Å): 4.8126 4.8126 8.1768
angles (deg): 72.89 72.89 60.00
Closest atoms and distances in Å follow each position.
Sites, in units of the cell vectors:
Tb: 0.0000 0.0000 0.0000  6 Ni 2.78
Al: 0.8560 0.8560 0.4320  12 Ni 2.71-2.83, 3 Al 2.97
Al: 0.1440 0.1440 0.5680  12 Ni 2.71-2.83, 3 Al 2.97
Ni: 0.6659 0.6659 0.0022  6 Ni 2.45
Ni: 0.3341 0.3341 0.9978  6 Ni 2.45
Ni: 0.5000 0.5000 0.5000  6 Ni 2.31
Ni: 0.4092 0.4092 0.2627  7 Ni 2.31-2.45
Ni: 0.9188 0.4092 0.2627  7 Ni 2.31-2.45
Ni: 0.4092 0.9188 0.2627  7 Ni 2.31-2.45
Ni: 0.5908 0.5908 0.7373  7 Ni 2.31-2.45
Ni: 0.5908 0.0812 0.7373  7 Ni 2.31-2.45
Ni: 0.0812 0.5908 0.7373  7 Ni 2.31-2.45

***

3.
A plane-wave DFT calculation with PBE was carried out for crystalline RbAl3Au at its relaxed geometry.

Summary:
- electronic total energy (eV/atom) = -2.828
- space group = Pm-3m
- E_form (eV/atom) = 0.266
- polymorph energy (0 for the lowest one) (eV/atom) = 0.0000

a b c (Å): 5.1216 5.1216 5.1216
angles (deg): 90.00 90.00 90.00
Closest atoms and distances in Å follow each position.
Sites, in units of the cell vectors:
Au: 0.0000 0.0000 0.0000  6 Al 2.56
Al: 0.0000 0.5000 0.0000  2 Au 2.56
Al: 0.0000 0.0000 0.5000  2 Au 2.56
Al: 0.5000 0.0000 0.0000  2 Au 2.56
Rb: 0.5000 0.5000 0.5000  12 Al 3.62

***

4.
A plane-wave DFT calculation with PBE was carried out for crystalline PuScHgAu at its relaxed geometry.

Summary:
- electronic total energy (eV/atom) = -6.505
- space group = P4mm
- E_form (eV/atom) = -0.445
- polymorph energy (0 for the lowest one) (eV/atom) = 0.0000

a b c (Å): 3.3963 3.3963 7.8450
angles (deg): 90.00 90.00 90.00
Closest atoms and distances in Å follow each position.
Sites, in units of the cell vectors:
Pu: 0.0000 0.0000 0.0827  4 Au 3.23, 4 Hg 3.31, 4 Pu 3.40
Sc: 0.0000 0.0000 0.5515  4 Au 2.84, 4 Hg 3.06
Hg: 0.5000 0.5000 0.7930  4 Sc 3.06, 4 Pu 3.31, 4 Hg 3.40, 1 Au 3.42
Au: 0.5000 0.5000 0.3576  4 Sc 2.84

***

5.
A plane-wave DFT calculation with PBE was carried out for crystalline La2TmSb4Pd3 at its relaxed geometry.

Summary:
- electronic total energy (eV/atom) = -5.521
- space group = P-4m2

a b c (Å): 4.6109 4.6109 11.7907
angles (deg): 90.00 90.00 90.00
Closest atoms and distances in Å follow each position.
Sites, in units of the cell vectors:
La: 0.5000 0.0000 0.2274  4 Pd 3.48, 8 Sb 3.54-3.55
La: 0.0000 0.5000 0.7726  4 Pd 3.48, 8 Sb 3.54-3.55
Tm: 0.5000 0.5000 0.5000  4 Sb 2.93, 4 Pd 3.26
Sb: 0.5000 0.5000 0.0000  4 Pd 2.73
Sb: 0.0000 0.0000 0.0000  4 Pd 2.73
Sb: 0.5000 0.0000 0.6532  3 Pd 2.63-2.93, 2 Tm 2.93
Sb: 0.0000 0.5000 0.3468  3 Pd 2.63-2.93, 2 Tm 2.93
Pd: 0.0000 0.0000 0.5000  4 Sb 2.93, 4 Tm 3.26
Pd: 0.5000 0.0000 0.8765  5 Sb 2.63-2.73
Pd: 0.0000 0.5000 0.1235  5 Sb 2.63-2.73

***

6.
A plane-wave DFT calculation with PBE was carried out for crystalline SrLa2Pt at its relaxed geometry.

Summary:
- electronic total energy (eV/atom) = -4.858
- space group = P4mm
- E_form (eV/atom) = -0.463
- polymorph energy (0 for the lowest one) (eV/atom) = 0.1101

a b c (Å): 3.7784 3.7784 9.2694
angles (deg): 90.00 90.00 90.00
Closest atoms and distances in Å follow each position.
Sites, in units of the cell vectors:
La: 0.0000 0.0000 0.0293  8 La 3.76-3.78, 1 Pt 4.07, 4 Sr 4.14
La: 0.5000 0.5000 0.3143  4 Pt 3.03
Pt: 0.0000 0.0000 0.4680  4 La 3.03, 4 Sr 3.36
Sr: 0.5000 0.5000 0.6885  4 Pt 3.36, 1 La 3.47